# KBa2Ca, optimized geometry, DFT PBE
data_KBa2Ca
_cell_length_a 4.222
_cell_length_b 7.032
_cell_length_c 7.996
_cell_angle_alpha 90.00
_cell_angle_beta 97.98
_cell_angle_gamma 90.00
_symmetry_space_group_name_H-M 'P 1 m 1'
_symmetry_Int_Tables_number 6
loop_
_symmetry_equiv_pos_as_xyz
'x,y,z'
'x,-y,z'
loop_
_atom_site_label
_atom_site_fract_x
_atom_site_fract_y
_atom_site_fract_z
_atom_site_occupancy
K1 0.000 0.000 0.000 1
Ba1 0.452 0.000 0.515 1
Ba2 0.677 0.500 0.238 1
Ca1 0.119 0.500 0.723 1
# DOS at the Fermi energy: 5.223 states/eV per cell
# uncorrected energy: -6.520 eV for the cell shown
# formation energy: 0.42 eV/f.u.
# excess energy over the best structure of this formula in the dataset: 35 meV/atom
# total magnetization: 0.00 μB per atom

=====

# KBa2Ca, optimized geometry, DFT PBE
data_KBa2Ca
_cell_length_a 4.334
_cell_length_b 4.334
_cell_length_c 12.825
_cell_angle_alpha 90.00
_cell_angle_beta 90.00
_cell_angle_gamma 90.00
_symmetry_space_group_name_H-M 'P 4/m m m'
_symmetry_Int_Tables_number 123
_symmetry_space_group_name_Hall '-P 4 2'
loop_
_atom_site_label
_atom_site_fract_x
_atom_site_fract_y
_atom_site_fract_z
_atom_site_occupancy
K1 0.000 0.000 0.000 1
Ba1 0.500 0.500 0.276 1
Ca1 0.000 0.000 0.500 1
# DOS at the Fermi energy: 5.839 states/eV per cell
# uncorrected energy: -6.653 eV for the cell shown
# formation energy: 0.29 eV/f.u.
# excess energy over the best structure of this formula in the dataset: 2 meV/atom
# total magnetization: 0.00 μB per atom

=====

# KBa2Ca, optimized geometry, DFT PBE
data_KBa2Ca
_cell_length_a 4.924
_cell_length_b 4.924
_cell_length_c 9.825
_cell_angle_alpha 90.00
_cell_angle_beta 90.00
_cell_angle_gamma 90.00
_symmetry_space_group_name_H-M 'P 4 m m'
_symmetry_Int_Tables_number 99
loop_
_symmetry_equiv_pos_as_xyz
'x,y,z'
'-y,x,z'
'-x,-y,z'
'y,-x,z'
'-x,y,z'
'y,x,z'
'x,-y,z'
'-y,-x,z'
loop_
_atom_site_label
_atom_site_fract_x
_atom_site_fract_y
_atom_site_fract_z
_atom_site_occupancy
K1 0.000 0.000 0.000 1
Ba1 0.000 0.000 0.539 1
Ba2 0.500 0.500 0.280 1
Ca1 0.500 0.500 0.755 1
# DOS at the Fermi energy: 5.556 states/eV per cell
# uncorrected energy: -6.517 eV for the cell shown
# formation energy: 0.43 eV/f.u.
# excess energy over the best structure of this formula in the dataset: 36 meV/atom
# total magnetization: 0.00 μB per atom

=====

# KBa3Ca, optimized geometry, DFT PBE
data_KBa3Ca
_cell_length_a 7.216
_cell_length_b 7.216
_cell_length_c 7.216
_cell_angle_alpha 90.00
_cell_angle_beta 90.00
_cell_angle_gamma 90.00
_symmetry_space_group_name_H-M 'P m -3 m'
_symmetry_Int_Tables_number 221
_symmetry_space_group_name_Hall '-P 4 2 3'
loop_
_atom_site_label
_atom_site_fract_x
_atom_site_fract_y
_atom_site_fract_z
_atom_site_occupancy
K1 0.000 0.000 0.000 1
Ba1 0.000 0.500 0.500 1
Ca1 0.500 0.500 0.500 1
# DOS at the Fermi energy: 7.425 states/eV per cell
# uncorrected energy: -6.898 eV for the cell shown
# formation energy: 1.97 eV/f.u.
# excess energy over the best structure of this formula in the dataset: 0 meV/atom
# total magnetization: 0.48 μB per atom

=====

# KBaCa4, optimized geometry, DFT PBE
data_KBaCa4
_cell_length_a 10.741
_cell_length_b 10.741
_cell_length_c 10.741
_cell_angle_alpha 90.00
_cell_angle_beta 90.00
_cell_angle_gamma 90.00
_symmetry_space_group_name_H-M 'F -4 3 m'
_symmetry_Int_Tables_number 216
_symmetry_space_group_name_Hall 'F -4 2 3'
loop_
_atom_site_label
_atom_site_fract_x
_atom_site_fract_y
_atom_site_fract_z
_atom_site_occupancy
K1 0.000 0.000 0.000 1
Ba1 0.250 0.250 0.250 1
Ca1 0.125 0.125 0.625 1
# DOS at the Fermi energy: 18.815 states/eV per cell
# uncorrected energy: -41.774 eV for the cell shown
# formation energy: 0.58 eV/f.u.
# total magnetization: 0.00 μB per atom

=====

# KBa2Ca, optimized geometry, DFT PBE
data_KBa2Ca
_cell_length_a 7.114
_cell_length_b 7.114
_cell_length_c 4.693
_cell_angle_alpha 90.00
_cell_angle_beta 90.00
_cell_angle_gamma 90.00
_symmetry_space_group_name_H-M 'P 4/m m m'
_symmetry_Int_Tables_number 123
_symmetry_space_group_name_Hall '-P 4 2'
loop_
_atom_site_label
_atom_site_fract_x
_atom_site_fract_y
_atom_site_fract_z
_atom_site_occupancy
K1 0.000 0.000 0.000 1
Ba1 0.000 0.500 0.500 1
Ca1 0.500 0.500 0.000 1
# DOS at the Fermi energy: 6.082 states/eV per cell
# uncorrected energy: -6.503 eV for the cell shown
# formation energy: 0.44 eV/f.u.
# excess energy over the best structure of this formula in the dataset: 40 meV/atom
# total magnetization: 0.00 μB per atom

=====

# KBa2Ca, optimized geometry, DFT PBE
data_KBa2Ca
_cell_length_a 14.599
_cell_length_b 4.313
_cell_length_c 7.620
_cell_angle_alpha 90.00
_cell_angle_beta 100.00
_cell_angle_gamma 90.00
_symmetry_space_group_name_H-M 'C 1 m 1'
_symmetry_Int_Tables_number 8
loop_
_symmetry_equiv_pos_as_xyz
'x,y,z'
'x,-y,z'
'x+1/2,y+1/2,z'
'x+1/2,-y+1/2,z'
loop_
_atom_site_label
_atom_site_fract_x
_atom_site_fract_y
_atom_site_fract_z
_atom_site_occupancy
K1 0.000 0.000 0.000 1
Ba1 0.014 0.500 0.517 1
Ba2 0.256 0.500 0.249 1
Ca1 0.257 0.000 0.737 1
# DOS at the Fermi energy: 10.098 states/eV per cell
# uncorrected energy: -13.028 eV for the cell shown
# formation energy: 0.43 eV/f.u.
# excess energy over the best structure of this formula in the dataset: 37 meV/atom
# total magnetization: 0.00 μB per atom

=====

# KBa2Ca, optimized geometry, DFT PBE
data_KBa2Ca
_cell_length_a 9.861
_cell_length_b 9.861
_cell_length_c 9.861
_cell_angle_alpha 90.00
_cell_angle_beta 90.00
_cell_angle_gamma 90.00
_symmetry_space_group_name_H-M 'F m -3 m'
_symmetry_Int_Tables_number 225
_symmetry_space_group_name_Hall '-F 4 2 3'
loop_
_atom_site_label
_atom_site_fract_x
_atom_site_fract_y
_atom_site_fract_z
_atom_site_occupancy
K1 0.000 0.000 0.000 1
Ba1 0.250 0.250 0.250 1
Ca1 0.000 0.000 0.500 1
# DOS at the Fermi energy: 41.653 states/eV per cell
# uncorrected energy: -25.858 eV for the cell shown
# formation energy: 0.48 eV/f.u.
# excess energy over the best structure of this formula in the dataset: 49 meV/atom
# total magnetization: 0.00 μB per atom

=====

# KBa2Ca2, optimized geometry, DFT PBE
data_KBa2Ca2
_cell_length_a 11.737
_cell_length_b 11.737
_cell_length_c 4.298
_cell_angle_alpha 90.00
_cell_angle_beta 90.00
_cell_angle_gamma 90.00
_symmetry_space_group_name_H-M 'P 4/m b m'
_symmetry_Int_Tables_number 127
_symmetry_space_group_name_Hall '-P 4 2ab'
loop_
_atom_site_label
_atom_site_fract_x
_atom_site_fract_y
_atom_site_fract_z
_atom_site_occupancy
K1 0.000 0.000 0.000 1
Ba1 0.124 0.376 0.000 1
Ca1 0.168 0.668 0.500 1
# DOS at the Fermi energy: 11.474 states/eV per cell
# uncorrected energy: -16.205 eV for the cell shown
# formation energy: 0.84 eV/f.u.
# excess energy over the best structure of this formula in the dataset: 21 meV/atom
# total magnetization: 0.00 μB per atom

=====

# KBa2Ca, optimized geometry, DFT PBE
data_KBa2Ca
_cell_length_a 4.660
_cell_length_b 7.124
_cell_length_c 14.348
_cell_angle_alpha 90.00
_cell_angle_beta 90.00
_cell_angle_gamma 90.00
_symmetry_space_group_name_H-M 'I m m 2'
_symmetry_Int_Tables_number 44
loop_
_symmetry_equiv_pos_as_xyz
'x,y,z'
'-x,-y,z'
'-x,y,z'
'x,-y,z'
'x+1/2,y+1/2,z+1/2'
'-x+1/2,-y+1/2,z+1/2'
'-x+1/2,y+1/2,z+1/2'
'x+1/2,-y+1/2,z+1/2'
loop_
_atom_site_label
_atom_site_fract_x
_atom_site_fract_y
_atom_site_fract_z
_atom_site_occupancy
K1 0.000 0.000 0.000 1
Ba1 0.000 0.000 0.525 1
Ba2 0.000 0.500 0.758 1
Ca1 0.000 0.500 0.267 1
# DOS at the Fermi energy: 13.031 states/eV per cell
# uncorrected energy: -12.940 eV for the cell shown
# formation energy: 0.47 eV/f.u.
# excess energy over the best structure of this formula in the dataset: 48 meV/atom
# total magnetization: 0.00 μB per atom

=====

# KBa2Ca, optimized geometry, DFT PBE
data_KBa2Ca
_cell_length_a 8.875
_cell_length_b 12.200
_cell_length_c 4.355
_cell_angle_alpha 90.00
_cell_angle_beta 90.64
_cell_angle_gamma 90.00
_symmetry_space_group_name_H-M 'C 1 2/m 1'
_symmetry_Int_Tables_number 12
loop_
_symmetry_equiv_pos_as_xyz
'x,y,z'
'-x,-y,-z'
'-x,y,-z'
'x,-y,z'
'x+1/2,y+1/2,z'
'-x+1/2,-y+1/2,-z'
'-x+1/2,y+1/2,-z'
'x+1/2,-y+1/2,z'
loop_
_atom_site_label
_atom_site_fract_x
_atom_site_fract_y
_atom_site_fract_z
_atom_site_occupancy
K1 0.000 0.000 0.000 1
Ba1 0.250 0.250 0.500 1
Ca1 0.000 0.500 0.000 1
# DOS at the Fermi energy: 10.017 states/eV per cell
# uncorrected energy: -13.041 eV for the cell shown
# formation energy: 0.42 eV/f.u.
# excess energy over the best structure of this formula in the dataset: 35 meV/atom
# total magnetization: 0.00 μB per atom

=====

# K2BaCa2, optimized geometry, DFT PBE
data_K2BaCa2
_cell_length_a 11.416
_cell_length_b 11.416
_cell_length_c 4.340
_cell_angle_alpha 90.00
_cell_angle_beta 90.00
_cell_angle_gamma 90.00
_symmetry_space_group_name_H-M 'P 4/m b m'
_symmetry_Int_Tables_number 127
_symmetry_space_group_name_Hall '-P 4 2ab'
loop_
_atom_site_label
_atom_site_fract_x
_atom_site_fract_y
_atom_site_fract_z
_atom_site_occupancy
K1 0.121 0.379 0.000 1
Ba1 0.000 0.000 0.000 1
Ca1 0.180 0.680 0.500 1
# DOS at the Fermi energy: 9.707 states/eV per cell
# uncorrected energy: -13.996 eV for the cell shown
# formation energy: 1.12 eV/f.u.
# excess energy over the best structure of this formula in the dataset: 0 meV/atom
# total magnetization: 0.00 μB per atom